one | Below is AlTl2Te after structural relaxation, with properties calculated at the PBE-GGA level.

a b c (Å): 6.1933 6.1933 3.2489
angles (deg): 90.00 90.00 110.61
Last column: nearest neighbours and their distance in Å.
Fractional coordinates of all 4 atoms:
Al1 0.0000 0.0000 0.0000  2 Al 3.25, 8 Tl 3.50, 2 Te 3.53
Tl1 0.0000 0.5000 0.5000  4 Tl 3.25-3.53, 4 Te 3.50, 4 Al 3.50
Tl2 0.5000 0.0000 0.5000  4 Tl 3.25-3.53, 4 Te 3.50, 4 Al 3.50
Te1 0.5000 0.5000 0.0000  2 Te 3.25, 8 Tl 3.50, 2 Al 3.53

Results
Fermi-level density of states (states/eV/cell): 2.0
Crystal system: orthorhombic



two | Below is AlTl2Te after structural relaxation, with properties calculated at the PBE-GGA level.

a b c (Å): 6.3288 6.3288 6.3288
angles (deg): 137.04 137.04 62.38
Last column: nearest neighbours and their distance in Å.
Fractional coordinates of all 4 atoms:
Al1 0.0000 0.0000 0.0000  4 Te 3.28, 8 Tl 3.56
Tl1 0.2500 0.7500 0.5000  4 Tl 3.28, 4 Te 3.56, 4 Al 3.56
Tl2 0.7500 0.2500 0.5000  4 Tl 3.28, 4 Te 3.56, 4 Al 3.56
Te1 0.5000 0.5000 0.0000  4 Al 3.28, 8 Tl 3.56

Results
Fermi-level density of states (states/eV/cell): 1.2
Crystal system: tetragonal



three | Below is AlTl2Te after structural relaxation, with properties calculated at the PBE-GGA level.

a b c (Å): 3.2405 3.2405 10.7971
angles (deg): 90.00 90.00 90.00
Last column: nearest neighbours and their distance in Å.
Fractional coordinates of all 4 atoms:
Al1 0.0000 0.0000 0.0000  4 Al 3.24, 8 Tl 3.31
Tl1 0.5000 0.5000 0.2215  4 Tl 3.24, 4 Al 3.31
Tl2 0.5000 0.5000 0.7785  4 Tl 3.24, 4 Al 3.31
Te1 0.0000 0.0000 0.5000  4 Te 3.24

Results
Fermi-level density of states (states/eV/cell): 2.6
Crystal system: tetragonal



four | Below is AlTl2Te after structural relaxation, with properties calculated at the PBE-GGA level.

a b c (Å): 5.5123 5.5123 5.5123
angles (deg): 60.00 60.00 60.00
Last column: nearest neighbours and their distance in Å.
Fractional coordinates of all 4 atoms:
Al1 0.0000 0.0000 0.0000  4 Tl 3.38, 4 Te 3.38
Tl1 0.2500 0.2500 0.2500  4 Tl 3.38, 4 Al 3.38
Tl2 0.5000 0.5000 0.5000  4 Te 3.38, 4 Tl 3.38
Te1 0.7500 0.7500 0.7500  4 Al 3.38, 4 Tl 3.38

Results
Fermi-level density of states (states/eV/cell): 3.2
Crystal system: cubic



What should be chosen as the least stable of them? Choose three.